Entry 1:
This record from Alexandria via LeMat-Bulk describes crystalline La5SmEr at its relaxed geometry. The functional is PBE-GGA.

Lattice parameters (Å, degrees): 6.2868 9.4365 9.2032 86.20 78.52 70.54
Fractional coordinates of all 14 atoms:
Sm 0.0000 0.0000 0.0000
Sm 0.0000 0.0000 0.5000
Er 0.5103 0.9794 0.7500
Er 0.4897 0.0206 0.2500
La 0.4564 0.3029 0.5340
La 0.2407 0.3029 0.9660
La 0.0180 0.3709 0.3522
La 0.3889 0.6291 0.8522
La 0.1400 0.7200 0.2500
La 0.7593 0.6971 0.0340
La 0.8600 0.2800 0.7500
La 0.6111 0.3709 0.1478
La 0.5436 0.6971 0.4660
La 0.9820 0.6291 0.6478

uncorrected energy: -65.62 eV per cell
magnetization: 0.00 μB/atom
formation energy from the elements: 0.159 eV/atom

=====

Entry 2:
This record from Alexandria via LeMat-Bulk describes crystalline La6Sm12Er at its relaxed geometry. The functional is PBE-GGA.

Lattice parameters (Å, degrees): 8.7345 8.7345 8.7345 89.70 89.70 89.70
Fractional coordinates of all 19 atoms:
La 0.0932 0.6982 0.2653
La 0.2653 0.0932 0.6982
La 0.9068 0.3018 0.7347
La 0.6982 0.2653 0.0932
La 0.3018 0.7347 0.9068
La 0.7347 0.9068 0.3018
Sm 0.7793 0.5332 0.4381
Sm 0.1875 0.3606 0.0210
Sm 0.5619 0.2207 0.4668
Sm 0.0210 0.1875 0.3606
Sm 0.3606 0.0210 0.1875
Sm 0.6394 0.9790 0.8125
Sm 0.9790 0.8125 0.6394
Sm 0.4381 0.7793 0.5332
Sm 0.8125 0.6394 0.9790
Sm 0.5332 0.4381 0.7793
Sm 0.2207 0.4668 0.5619
Sm 0.4668 0.5619 0.2207
Er 0.0000 0.0000 0.0000

uncorrected energy: -88.35 eV per cell
magnetization: 0.00 μB/atom
formation energy from the elements: 0.127 eV/atom
energy above the lowest structure with this stoichiometry: 0 meV per atom

=====

Entry 3:
This record from Alexandria via LeMat-Bulk describes crystalline La4Sm2Er3 at its relaxed geometry. The functional is PBE-GGA.

Lattice parameters (Å, degrees): 3.7063 11.7562 9.3248 129.08 90.42 90.00
Fractional coordinates of all 9 atoms:
Sm 0.7810 0.2895 0.5790
Sm 0.2190 0.7105 0.4210
La 0.7783 0.3818 0.2570
La 0.7783 0.8752 0.2570
La 0.2217 0.6182 0.7430
La 0.2217 0.1248 0.7430
Er 0.5000 0.5000 0.0000
Er 0.7347 0.9072 0.8143
Er 0.2653 0.0928 0.1857

uncorrected energy: -41.74 eV per cell
magnetization: 0.00 μB/atom
formation energy from the elements: 0.121 eV/atom

=====

Question: Which of these has the lowest uncorrected energy?
Answer: La6Sm12Er

=====

Question: Number 3 is which compound?
Answer: La4Sm2Er3